[1]
## LaCeP2 (PBE)

Data for an optimized crystal structure of LaCeP2.

Its uncorrected energy is -6.721 eV per atom. For the distance to the lowest polymorph of the same formula, the calculation gives 234.7 meV/atom. As for the crystal system: trigonal.

It has space group P-3m1 (No. 164), with a = 4.1332 Å, b = 4.1332 Å, c = 7.2321 Å, α = 90.00°, β = 90.00° and γ = 120.00°. The distinct sites, in fractional coordinates, are La at (0.0000, 0.0000, 0.0000), Ce at (0.0000, 0.0000, 0.5000) and P at (0.3333, 0.6667, 0.7386).


[2]
## La3CeP4 (PBE)

Data for an optimized crystal structure of La3CeP4.

Its uncorrected energy is -6.847 eV per atom. As for the crystal system: orthorhombic.

It has space group Cmmm (No. 65), with a = 8.465 Å, b = 11.960 Å, c = 4.229 Å, α = 90.00°, β = 90.00° and γ = 90.00°. The distinct sites, in fractional coordinates, are La at (0.000, 0.000, 0.000), La at (0.250, 0.250, 0.500), Ce at (0.000, 0.500, 0.000), P at (0.000, 0.255, 0.000) and P at (0.242, 0.500, 0.500).


[3]
## La2CeP3 (PBE)

Data for an optimized crystal structure of La2CeP3.

Its uncorrected energy is -6.882 eV per atom. For the distance to the lowest polymorph of the same formula, the calculation gives 0.0 meV/atom. As for the crystal system: orthorhombic.

It has space group Immm (No. 71), with a = 4.212 Å, b = 5.963 Å, c = 12.648 Å, α = 90.00°, β = 90.00° and γ = 90.00°. The distinct sites, in fractional coordinates, are La at (0.000, 0.000, 0.167), Ce at (0.000, 0.000, 0.500), P at (0.000, 0.500, 0.159) and P at (0.000, 0.500, 0.500).


[4]
## LaCe4P6 (PBE)

Data for an optimized crystal structure of LaCe4P6.

Its uncorrected energy is -6.697 eV per atom. As for the crystal system: trigonal.

It has space group R-3c (No. 167, hexagonal axes), with a = 11.2524 Å, b = 11.2524 Å, c = 14.2573 Å, α = 90.00°, β = 90.00° and γ = 120.00°. The distinct sites, in fractional coordinates, are La at (0.0000, 0.0000, 0.0000), Ce at (0.0000, 0.0000, 0.2500), Ce at (0.0000, 0.3836, 0.2500) and P at (0.0298, 0.2153, 0.3832).


[5]
## LaCeP2 (PBE)

Data for an optimized crystal structure of LaCeP2.

Its uncorrected energy is -6.804 eV per atom. For the distance to the lowest polymorph of the same formula, the calculation gives 151.1 meV/atom. As for the crystal system: trigonal.

It has space group R3m (No. 160, hexagonal axes), with a = 4.1172 Å, b = 4.1172 Å, c = 21.4108 Å, α = 90.00°, β = 90.00° and γ = 120.00°. The distinct sites, in fractional coordinates, are La at (0.0000, 0.0000, 0.0000), Ce at (0.0000, 0.0000, 0.1724), P at (0.0000, 0.0000, 0.5825) and P at (0.0000, 0.0000, 0.7587).


[6]
## LaCe4P5 (PBE)

Data for an optimized crystal structure of LaCe4P5.

Its uncorrected energy is -7.075 eV per atom. As for the crystal system: orthorhombic.

It has space group Immm (No. 71), with a = 4.126 Å, b = 5.843 Å, c = 20.657 Å, α = 90.00°, β = 90.00° and γ = 90.00°. The distinct sites, in fractional coordinates, are La at (0.000, 0.000, 0.000), Ce at (0.000, 0.000, 0.201), Ce at (0.000, 0.000, 0.400), P at (0.000, 0.500, 0.000), P at (0.000, 0.500, 0.199) and P at (0.000, 0.500, 0.395).


[7]
## LaCe2P (PBE)

Data for an optimized crystal structure of LaCe2P.

Its uncorrected energy is -6.140 eV per atom. For the distance to the lowest polymorph of the same formula, the calculation gives 0.0 meV/atom. As for the crystal system: trigonal.

It has space group R3m (No. 160, hexagonal axes), with a = 3.8563 Å, b = 3.8563 Å, c = 28.1328 Å, α = 90.00°, β = 90.00° and γ = 120.00°. The distinct sites, in fractional coordinates, are La at (0.0000, 0.0000, 0.0000), Ce at (0.0000, 0.0000, 0.5597), Ce at (0.0000, 0.0000, 0.7716) and P at (0.0000, 0.0000, 0.1657).


[8]
## LaCe2P (PBE)

Data for an optimized crystal structure of LaCe2P.

Its uncorrected energy is -6.019 eV per atom. For the distance to the lowest polymorph of the same formula, the calculation gives 121.3 meV/atom. As for the crystal system: trigonal.

It has space group R-3m (No. 166, hexagonal axes), with a = 3.7882 Å, b = 3.7882 Å, c = 29.4697 Å, α = 90.00°, β = 90.00° and γ = 120.00°. The distinct sites, in fractional coordinates, are La at (0.0000, 0.0000, 0.0000), Ce at (0.0000, 0.0000, 0.1088) and P at (0.0000, 0.0000, 0.5000).